The following is a PBE calculation of a geometry-optimized RbBa2Mo2 structure, from Alexandria.

Cell lengths 10.1523, 10.1523, 3.7268 Å; angles 90.00, 90.00, 90.00 degrees
Space group P4/mbm (No. 127)
Unique sites:
1 Rb 0.0000 0.0000 0.0000 [2 per cell]
2 Ba 0.1955 0.3045 0.0000 [4 per cell]
3 Mo 0.0730 0.5730 0.5000 [4 per cell]

Results
total magnetic moment = 0.0 μB per formula unit
energy of formation = 4.9 eV/f.u.
crystal system = tetragonal
VASP energy = -4.305 eV per atom
V = 384.1 Å³/cell